No. 1
TcOs6Ru2 after structural relaxation, computed with PBE.

As for the magnetic moment: 0.000 μB per atom. As for the electronic total energy: -10.45 eV per atom. The value obtained for the energy relative to the elements is 0.25 eV/atom.

Structure (POSCAR):
```
TcOs6Ru2
1.0
-0.525 -4.234 -8.034
-3.231 -1.608 6.242
-4.974 3.928 3.439
Tc Os Ru
2 12 4
Direct
0.250 0.627 0.373 Tc
0.750 0.373 0.627 Tc
0.368 0.251 0.561 Os
0.132 0.439 0.749 Os
0.632 0.749 0.439 Os
0.868 0.561 0.251 Os
0.983 0.155 0.516 Os
0.517 0.484 0.845 Os
0.017 0.845 0.484 Os
0.483 0.516 0.155 Os
0.187 0.037 0.176 Os
0.313 0.824 0.963 Os
0.813 0.963 0.824 Os
0.687 0.176 0.037 Os
0.050 0.307 0.115 Ru
0.450 0.885 0.693 Ru
0.950 0.693 0.885 Ru
0.550 0.115 0.307 Ru
```

***

No. 2
CaHBrO after structural relaxation, computed with PBE.

As for the magnetic moment: 0.000 μB per atom. As for the electronic total energy: -4.98 eV per atom.

Structure (POSCAR):
```
CaHBrO
1.0
3.904 0.000 0.000
-1.952 3.381 0.003
0.000 -0.011 5.527
Ca H Br O
1 1 1 1
Direct
0.905 0.810 0.786 Ca
0.239 0.478 0.099 H
0.572 0.143 0.433 Br
0.239 0.477 0.922 O
```

***

No. 3
Pm3Dy7Ho after structural relaxation, computed with PBE.

As for the magnetic moment: 0.029 μB per atom. As for the electronic total energy: -4.37 eV per atom. The value obtained for the energy relative to the elements is 0.27 eV/atom. For the distance to the lowest polymorph of the same formula, the calculation gives 0.126 eV per atom.

Structure (POSCAR):
```
Pm3Dy7Ho
1.0
5.836 -0.193 -0.247
-2.618 7.944 1.057
-2.618 -0.900 7.963
Pm Dy Ho
3 7 1
Direct
0.000 0.788 0.212 Pm
0.500 0.000 0.000 Pm
0.000 0.212 0.788 Pm
0.206 0.206 0.206 Dy
0.296 0.995 0.597 Dy
0.704 0.403 0.005 Dy
0.296 0.597 0.995 Dy
0.000 0.500 0.500 Dy
0.704 0.005 0.403 Dy
0.794 0.794 0.794 Dy
0.500 0.500 0.500 Ho
```

***

No. 4
NaPuSBr after structural relaxation, computed with PBE.

As for the magnetic moment: 1.500 μB per atom. As for the electronic total energy: -6.76 eV per atom. The raw formation energy comes out at -5.59 eV per formula unit.

Structure (POSCAR):
```
NaPuSBr
1.0
4.026 -0.001 0.000
-2.013 3.487 0.000
-2.012 -1.162 7.406
Na Pu S Br
1 1 1 1
Direct
0.494 0.145 0.654 Na
0.110 0.953 0.078 Pu
0.310 0.553 0.879 S
0.964 0.380 0.359 Br
```

***

No. 5
Tm4TlRu after structural relaxation, computed with PBE.

As for the magnetic moment: 0.000 μB per atom. As for the electronic total energy: -5.29 eV per atom. The value obtained for the energy relative to the elements is -0.36 eV/atom. For the distance to the lowest polymorph of the same formula, the calculation gives 0.000 eV per atom.

Structure (POSCAR):
```
Tm4TlRu
1.0
-3.142 3.249 4.097
2.262 -5.860 4.498
5.756 4.960 -1.404
Tm Tl Ru
8 2 2
Direct
0.893 0.647 0.800 Tm
0.047 0.939 0.275 Tm
0.607 0.200 0.353 Tm
0.453 0.725 0.061 Tm
0.547 0.275 0.939 Tm
0.393 0.800 0.647 Tm
0.953 0.061 0.725 Tm
0.107 0.353 0.200 Tm
0.750 0.625 0.375 Tl
0.250 0.375 0.625 Tl
0.250 0.000 0.000 Ru
0.750 0.000 0.000 Ru
```

***

No. 6
ZrNb2Ga2 after structural relaxation, computed with PBE.

As for the magnetic moment: 0.000 μB per atom. As for the electronic total energy: -6.78 eV per atom. The value obtained for the energy relative to the elements is 0.17 eV/atom. For the distance to the lowest polymorph of the same formula, the calculation gives 0.592 eV per atom.

Structure (POSCAR):
```
ZrNb2Ga2
1.0
5.897 -0.589 0.153
-2.554 5.347 0.153
-1.454 -2.070 6.728
Zr Nb Ga
2 4 4
Direct
0.896 0.604 0.750 Zr
0.104 0.396 0.250 Zr
0.255 0.961 0.561 Nb
0.461 0.755 0.061 Nb
0.745 0.039 0.439 Nb
0.539 0.245 0.939 Nb
0.173 0.327 0.750 Ga
0.371 0.129 0.250 Ga
0.629 0.871 0.750 Ga
0.827 0.673 0.250 Ga
```